ZnFeHgF6 | PBE with a Hubbard U | optimized geometry

Values from the calculation:
SG   P-31c, No. 163
Density   5.1 g/cm³
Electronic total energy   -4.078 eV per atom

abc: 5.453 5.453 10.971
angles: 90.00 90.00 120.00
Element x y z (fractional)
F: 0.986 0.372 0.151
Zn: 0.333 0.667 0.250
F: 0.014 0.386 0.651
F: 0.386 0.014 0.151
F: 0.386 0.372 0.349
F: 0.372 0.986 0.651
F: 0.614 0.986 0.849
F: 0.628 0.614 0.151
F: 0.628 0.014 0.349
Fe: 0.667 0.333 0.250
F: 0.986 0.614 0.349
F: 0.014 0.628 0.849
F: 0.372 0.386 0.849
Zn: 0.667 0.333 0.750
Fe: 0.333 0.667 0.750
F: 0.614 0.628 0.651
Hg: 0.000 0.000 0.500
Hg: 0.000 0.000 0.000